Computed, not measured: an optimized crystal structure of DyHoH at the PBE level of DFT.

Summary:
The total magnetization comes out at 0.0 Bohr magnetons per cell. Its space group is P3m1. The total energy is -4.421 eV per atom. The density of states at the Fermi level comes out at 3.10 states/eV/f.u.

POSCAR file:
```
DyHoH
1.0
-0.886 -0.232 3.490
1.623 -2.775 -1.638
4.957 2.076 1.397
H Ho Dy
1 1 1
Direct
0.667 0.333 0.333 H
0.000 0.000 0.089 Ho
0.333 0.667 0.578 Dy
```